[1]
This record from the Alexandria database describes a relaxed Ta3Nb4Sn crystal. The functional is PBE.

## Properties
M_tot   0.00 μB/f.u.
Energy of formation from the pure elements   -0.014 eV per atom
Energy above the most stable polymorph in this dataset   0.0233 eV per atom

Cell: 4.711 4.731 13.417 Å, 90.00 90.00 90.00°
Space group Immm (No. 71)
Unique sites:
Ta: 0.000 0.000 0.000
Ta: 0.000 0.500 0.369
Nb: 0.000 0.000 0.248
Nb: 0.000 0.500 0.132
Sn: 0.000 0.000 0.500

[2]
This record from the Alexandria database describes a relaxed Ta6Nb2Sn crystal. The functional is PBE.

## Properties
M_tot   0.00 μB/f.u.
Energy of formation from the pure elements   0.502 eV per atom
Energy above the most stable polymorph in this dataset   0.3881 eV per atom

Cell: 4.520 4.520 9.010 Å, 90.00 90.00 90.00°
Space group P4/mmm (No. 123)
Unique sites:
Ta: 0.000 0.000 0.000
Ta: 0.000 0.500 0.191
Ta: 0.500 0.500 0.000
Nb: 0.000 0.000 0.359
Sn: 0.500 0.500 0.500

[3]
This record from the Alexandria database describes a relaxed TaNb4Sn crystal. The functional is PBE.

## Properties
M_tot   0.00 μB/f.u.
Energy of formation from the pure elements   0.189 eV per atom
Energy above the most stable polymorph in this dataset   0.2429 eV per atom

Cell: 7.767 11.891 5.525 Å, 90.00 112.36 90.00°
Space group C2/c (No. 15)
Unique sites:
Ta: 0.000 0.005 0.250
Nb: 0.114 0.192 0.568
Nb: 0.199 0.385 0.860
Sn: 0.000 0.397 0.250

[4]
This record from the Alexandria database describes a relaxed Ta6Nb2Sn crystal. The functional is PBE.

## Properties
M_tot   0.00 μB/f.u.
Energy of formation from the pure elements   0.114 eV per atom
Energy above the most stable polymorph in this dataset   0.0000 eV per atom

Cell: 7.400 14.539 3.226 Å, 90.00 100.44 90.00°
Space group C2/m (No. 12)
Unique sites:
Ta: 0.158 0.000 0.325
Ta: 0.162 0.163 0.826
Nb: 0.000 0.327 0.500
Sn: 0.000 0.500 0.000

[5]
This record from the Alexandria database describes a relaxed TaNb6Sn2 crystal. The functional is PBE.

## Properties
M_tot   0.00 μB/f.u.
Energy of formation from the pure elements   0.151 eV per atom

Cell: 2.867 8.235 14.862 Å, 90.00 90.00 90.00°
Space group Immm (No. 71)
Unique sites:
Ta: 0.000 0.000 0.000
Nb: 0.000 0.179 0.500
Nb: 0.000 0.334 0.334
Sn: 0.000 0.500 0.158

[6]
This record from the Alexandria database describes a relaxed Ta2NbSn crystal. The functional is PBE.

## Properties
M_tot   0.00 μB/f.u.
Energy of formation from the pure elements   0.728 eV per atom

Cell: 7.638 7.638 5.694 Å, 90.00 90.00 90.00°
Space group I-42d (No. 122)
Unique sites:
Ta: 0.232 0.750 0.125
Nb: 0.000 0.000 0.000
Sn: 0.000 0.000 0.500

[7]
This record from the Alexandria database describes a relaxed Ta5Nb4Sn crystal. The functional is PBE.

## Properties
M_tot   0.00 μB/f.u.
Energy of formation from the pure elements   0.371 eV per atom

Cell: 17.259 3.310 6.820 Å, 90.00 96.53 90.00°
Space group C2/m (No. 12)
Unique sites:
Ta: 0.000 0.000 0.000
Ta: 0.114 0.500 0.810
Ta: 0.231 0.500 0.153
Nb: 0.084 0.500 0.253
Nb: 0.177 0.000 0.501
Sn: 0.000 0.000 0.500

[8]
This record from the Alexandria database describes a relaxed Ta2NbSn crystal. The functional is PBE.

## Properties
M_tot   0.00 μB/f.u.
Energy of formation from the pure elements   -0.051 eV per atom

Cell: 3.525 3.525 6.122 Å, 90.00 90.00 90.00°
Space group P4/mmm (No. 123)
Unique sites:
Ta: 0.000 0.000 0.239
Nb: 0.500 0.500 0.000
Sn: 0.500 0.500 0.500

[9]
This record from the Alexandria database describes a relaxed TaNbSn2 crystal. The functional is PBE.

## Properties
M_tot   0.00 μB/f.u.
Energy of formation from the pure elements   0.412 eV per atom
Energy above the most stable polymorph in this dataset   0.1867 eV per atom

Cell: 3.0900 3.0900 31.7209 Å, 90.00 90.00 120.00°
Space group R-3m (No. 166, hexagonal axes)
Unique sites:
Ta: 0.0000 0.0000 0.0000
Nb: 0.0000 0.0000 0.5000
Sn: 0.0000 0.0000 0.0908

[10]
This record from the Alexandria database describes a relaxed TaNb3Sn crystal. The functional is PBE.

## Properties
M_tot   0.00 μB/f.u.
Energy of formation from the pure elements   1.808 eV per atom
Energy above the most stable polymorph in this dataset   1.8358 eV per atom

Cell: 4.959 4.959 4.959 Å, 90.00 90.00 90.00°
Space group Pm-3m (No. 221)
Unique sites:
Ta: 0.000 0.000 0.000
Nb: 0.000 0.500 0.500
Sn: 0.500 0.500 0.500

[11]
This record from the Alexandria database describes a relaxed TaNbSn crystal. The functional is PBE.

## Properties
M_tot   0.00 μB/f.u.
Energy of formation from the pure elements   0.351 eV per atom
Energy above the most stable polymorph in this dataset   0.4470 eV per atom

Cell: 3.167 5.845 13.202 Å, 90.00 90.00 90.00°
Space group Immm (No. 71)
Unique sites:
Ta: 0.000 0.000 0.166
Nb: 0.000 0.500 0.163
Sn: 0.000 0.251 0.500

[12]
This record from the Alexandria database describes a relaxed Ta2NbSn crystal. The functional is PBE.

## Properties
M_tot   0.00 μB/f.u.
Energy of formation from the pure elements   -0.020 eV per atom

Cell: 4.445 4.445 3.809 Å, 90.00 90.00 90.00°
Space group P4/mmm (No. 123)
Unique sites:
Ta: 0.000 0.500 0.000
Nb: 0.000 0.000 0.500
Sn: 0.500 0.500 0.500

The highest energy of formation from the pure elements belongs to which entry?
TaNb3Sn

Which of these has the highest energy of formation from the pure elements?
TaNb3Sn